Entry 1:
Entry from Alexandria via LeMat-Bulk: CuRu2 after structural relaxation (PBE).

Cell and atoms, written as extended XYZ:
```
12
Lattice="5.0607 0.0000 0.0000 -2.5304 4.3827 0.0000 0.0000 0.0000 8.0970" Properties=species:S:1:pos:R:3 pbc="T T T"
Cu 0.0000 2.9218 0.6681
Cu 0.0000 2.9218 3.3804
Cu 2.5304 1.4609 4.7166
Cu 2.5304 1.4609 7.4289
Ru 0.0000 0.0000 0.0000
Ru 0.0000 0.0000 4.0485
Ru 0.0000 1.5356 6.0728
Ru -1.2005 3.6150 6.0728
Ru 1.3298 0.7678 2.0243
Ru 1.2005 3.6150 6.0728
Ru 3.7309 0.7678 2.0243
Ru 2.5304 2.8472 2.0243
```

**Calculated formation energy**: 609 meV per atom
**Offset from the most stable computed form**: 0.454 eV per atom
**D(E_F)**: 1.529 states/eV/atom
**V**: 14.97 Å³/atom



Entry 2:
Entry from Alexandria via LeMat-Bulk: CuRu2 after structural relaxation (PBE).

Cell and atoms, written as extended XYZ:
```
6
Lattice="4.9063 -1.3623 0.0000 4.9063 1.3623 0.0000 -1.6239 0.0000 6.0686" Properties=species:S:1:pos:R:3 pbc="T T T"
Cu 0.0000 0.0000 0.0000
Cu 5.9125 0.0000 1.9712
Ru -0.5285 0.0000 3.6652
Ru 2.1704 0.0000 4.0159
Ru 3.2407 0.0000 1.6270
Ru 5.5917 0.0000 5.6411
```

**Calculated formation energy**: 251 meV per atom
**Offset from the most stable computed form**: 0.096 eV per atom
**D(E_F)**: 1.378 states/eV/atom
**V**: 13.52 Å³/atom



Entry 3:
Entry from Alexandria via LeMat-Bulk: CuRu2 after structural relaxation (PBE).

Cell and atoms, written as extended XYZ:
```
6
Lattice="1.3527 -6.9467 0.0000 1.3527 6.9467 0.0000 0.0000 0.0000 4.3141" Properties=species:S:1:pos:R:3 pbc="T T T"
Cu 1.3527 3.8328 3.2356
Cu 1.3527 -3.8328 1.0785
Ru 1.3527 5.4317 1.0785
Ru 1.3527 0.7707 1.0785
Ru 1.3527 -0.7707 3.2356
Ru 1.3527 -5.4317 3.2356
```

**Calculated formation energy**: 162 meV per atom
**Offset from the most stable computed form**: 0.006 eV per atom
**D(E_F)**: 0.843 states/eV/atom
**V**: 13.51 Å³/atom